Record 1
This record from Alexandria describes a relaxed structure of LiThCd3. The functional is GGA-PBE.

```
10
Lattice="-2.760 -1.062 4.089 0.767 -3.208 -0.316 11.109 3.538 8.417" Properties=species:S:1:pos:R:3 pbc="T T T"
Li 6.248 -0.766 5.575
Li 2.868 0.034 6.616
Th 1.118 0.039 2.321
Th 7.998 -0.770 9.869
Cd 7.784 1.161 7.112
Cd 1.331 -1.893 5.078
Cd 10.207 1.569 8.853
Cd -1.091 -2.300 3.337
Cd 5.141 0.417 8.249
Cd 3.974 -1.149 3.941
```

Properties
final energy	-2.582	eV per atom
formation enthalpy at 0 K	-0.166	eV/atom


Record 2
This record from Alexandria describes a relaxed structure of LiThCd. The functional is GGA-PBE.

```
3
Lattice="3.308 0.000 0.000 0.000 5.082 0.000 0.000 -2.541 4.402" Properties=species:S:1:pos:R:3 pbc="T T T"
Li 0.552 2.541 1.467
Th 2.205 0.000 2.934
Cd 0.551 0.000 0.000
```

Properties
final energy	-3.457	eV per atom
formation enthalpy at 0 K	-0.041	eV/atom